(1)
Entry from Alexandria via LeMat-Bulk: a relaxed TmCu2Si crystal (PBE).

Cell and atoms, written as CIF:
```
data_TmCu2Si
_chemical_formula_sum 'Tm3 Cu6 Si3'
_cell_length_a 4.0467
_cell_length_b 4.0467
_cell_length_c 13.9922
_cell_angle_alpha 90.00
_cell_angle_beta 90.00
_cell_angle_gamma 120.00
_space_group_name_H-M_alt 'R -3 m'
_space_group_IT_number 166
_space_group_name_Hall '-R 3 2"'
loop_
_atom_site_label
_atom_site_type_symbol
_atom_site_fract_x
_atom_site_fract_y
_atom_site_fract_z
Tm1 Tm 0.0000 0.0000 0.0000
Cu1 Cu 0.0000 0.0000 0.2079
Si1 Si 0.0000 0.0000 0.5000
```

Results
- ρ (g/cm3) = 8.137
- volume (Å³/f.u.) = 66.1
- ΔE_f (raw) (meV per atom) = -363

(2)
Entry from Alexandria via LeMat-Bulk: a relaxed LiCaPm crystal (PBE).

Cell and atoms, written as CIF:
```
data_LiCaPm
_chemical_formula_sum 'Li2 Ca2 Pm2'
_cell_length_a 3.682
_cell_length_b 3.682
_cell_length_c 14.024
_cell_angle_alpha 90.00
_cell_angle_beta 90.00
_cell_angle_gamma 90.00
_space_group_name_H-M_alt 'I 4 m m'
_space_group_IT_number 107
_space_group_name_Hall 'I 4 -2'
loop_
_atom_site_label
_atom_site_type_symbol
_atom_site_fract_x
_atom_site_fract_y
_atom_site_fract_z
Li1 Li 0.000 0.000 0.000
Ca1 Ca 0.000 0.000 0.348
Pm1 Pm 0.000 0.000 0.648
```

Results
- ρ (g/cm3) = 3.353
- ΔE to the lowest computed polymorph (meV/atom) = 73.7
- formation energy (eV per atom) = 0.12
- volume (Å³/f.u.) = 95.1

(3)
Entry from Alexandria via LeMat-Bulk: a relaxed TeP2Os crystal (PBE).

Cell and atoms, written as CIF:
```
data_TeP2Os
_chemical_formula_sum 'Te3 P6 Os3'
_cell_length_a 3.1978
_cell_length_b 3.1978
_cell_length_c 25.6963
_cell_angle_alpha 90.00
_cell_angle_beta 90.00
_cell_angle_gamma 120.00
_space_group_name_H-M_alt 'R 3 m'
_space_group_IT_number 160
_space_group_name_Hall 'R 3 -2"'
loop_
_atom_site_label
_atom_site_type_symbol
_atom_site_fract_x
_atom_site_fract_y
_atom_site_fract_z
Te1 Te 0.0000 0.0000 0.0000
P1 P 0.0000 0.0000 0.2011
P2 P 0.0000 0.0000 0.4831
Os1 Os 0.0000 0.0000 0.7416
```

Results
- ρ (g/cm3) = 8.314
- ΔE to the lowest computed polymorph (meV/atom) = 374.8
- volume (Å³/f.u.) = 75.9
- ΔE_f (raw) (meV per atom) = 407

(4)
Entry from Alexandria via LeMat-Bulk: a relaxed LaHo3 crystal (PBE).

Cell and atoms, written as CIF:
```
data_LaHo3
_chemical_formula_sum 'La2 Ho6'
_cell_length_a 5.099
_cell_length_b 5.099
_cell_length_c 10.032
_cell_angle_alpha 90.00
_cell_angle_beta 90.00
_cell_angle_gamma 90.00
_space_group_name_H-M_alt 'I 4/m m m'
_space_group_IT_number 139
_space_group_name_Hall '-I 4 2'
loop_
_atom_site_label
_atom_site_type_symbol
_atom_site_fract_x
_atom_site_fract_y
_atom_site_fract_z
La1 La 0.000 0.000 0.000
Ho1 Ho 0.000 0.000 0.500
Ho2 Ho 0.000 0.500 0.250
```

Results
- ρ (g/cm3) = 8.069
- formation energy (eV per atom) = 0.04
- volume (Å³/f.u.) = 130.4

(5)
Entry from Alexandria via LeMat-Bulk: a relaxed LaMgSc2 crystal (PBE).

Cell and atoms, written as CIF:
```
data_LaMgSc2
_chemical_formula_sum 'La1 Mg1 Sc2'
_cell_length_a 3.331
_cell_length_b 5.150
_cell_length_c 6.540
_cell_angle_alpha 90.00
_cell_angle_beta 104.61
_cell_angle_gamma 90.00
_space_group_name_H-M_alt 'P 1 2/m 1'
_space_group_IT_number 10
loop_
_space_group_symop_operation_xyz
'x,y,z'
'-x,-y,-z'
'-x,y,-z'
'x,-y,z'
loop_
_atom_site_label
_atom_site_type_symbol
_atom_site_fract_x
_atom_site_fract_y
_atom_site_fract_z
La1 La 0.000 0.000 0.000
Mg1 Mg 0.000 0.000 0.500
Sc1 Sc 0.408 0.500 0.731
```

Results
- ρ (g/cm3) = 3.871
- formation energy (eV per atom) = 0.08
- volume (Å³/f.u.) = 108.6

(6)
Entry from Alexandria via LeMat-Bulk: a relaxed K2Pm2NpSe6 crystal (PBE).

Cell and atoms, written as CIF:
```
data_K2Pm2NpSe6
_chemical_formula_sum 'K4 Pm4 Np2 Se12'
_cell_length_a 7.385
_cell_length_b 12.719
_cell_length_c 8.220
_cell_angle_alpha 90.00
_cell_angle_beta 107.71
_cell_angle_gamma 90.00
_space_group_name_H-M_alt 'C 1 2/m 1'
_space_group_IT_number 12
loop_
_space_group_symop_operation_xyz
'x,y,z'
'-x,-y,-z'
'-x,y,-z'
'x,-y,z'
'x+1/2,y+1/2,z'
'-x+1/2,-y+1/2,-z'
'-x+1/2,y+1/2,-z'
'x+1/2,-y+1/2,z'
loop_
_atom_site_label
_atom_site_type_symbol
_atom_site_fract_x
_atom_site_fract_y
_atom_site_fract_z
K1 K 0.000 0.170 0.000
Pm1 Pm 0.000 0.334 0.500
Np1 Np 0.000 0.000 0.500
Se1 Se 0.229 0.162 0.703
Se2 Se 0.249 0.500 0.702
```

Results
- ρ (g/cm3) = 4.872
- volume (Å³/f.u.) = 367.7
- ΔE_f (raw) (meV per atom) = -1565